No. 1
An optimized crystal structure of Rb2AlCrTe4, computed with PBE.

Results
Electronic total energy in eV/cell: -63.3

abc: 8.9604 8.9604 9.0379
angles: 120.29 120.29 90.03
Each line ends with the local moment (μB).
Atoms (fractional coordinates):
Rb  0.0000  0.0000  0.5000  0.00
Rb  0.5000  0.0000  0.0000  -0.01
Rb  0.5000  0.5000  0.0000  0.00
Rb  0.5000  0.0000  0.5000  -0.01
Te  0.8188  0.2775  0.0482  -0.14
Te  0.7738  0.7261  0.5415  -0.05
Te  0.7775  0.3188  0.5482  -0.14
Te  0.2261  0.2738  0.0415  -0.05
Te  0.1812  0.7225  0.9518  -0.14
Te  0.7739  0.7262  0.9585  -0.05
Te  0.2262  0.2739  0.4585  -0.05
Te  0.2225  0.6812  0.4518  -0.14
Cr  0.0000  0.5000  0.0000  3.20
Cr  0.0000  0.5000  0.5000  3.20
Al  0.5000  0.5000  0.5000  0.02
Al  0.0000  0.0000  0.0000  0.02

=====

No. 2
An optimized crystal structure of Al3CrRe, computed with PBE.

Results
Formation energy in eV per atom: 0.595

abc: 4.7553 4.7553 4.7553
angles: 90.00 90.00 90.00
Each line ends with the local moment (μB).
Atoms (fractional coordinates):
Cr  0.5000  0.5000  0.5000  4.06
Re  0.0000  0.0000  0.0000  0.01
Al  0.5000  0.0000  0.0000  -0.01
Al  0.0000  0.0000  0.5000  -0.05
Al  0.0000  0.5000  0.0000  -0.03

=====

Number 1: V 508.5 Å³ per cell, density 4.97 g/cm³, total magnetization 3.0 μB per formula unit. Number 2: V 107.5 Å³ per cell, density 4.93 g/cm³, total magnetization 4.3 μB per formula unit.